[1]
FeTcMo: single point on PBEsol structure, meta-GGA SCAN.

As for the crystal system: orthorhombic. Its energy of formation is 0.361 eV/atom. The value obtained for the energy above the lowest structure with this stoichiometry is 342 meV per atom. The density of states at the Fermi level comes out at 6.25 states/eV/cell.

The space group is Imm2 (No. 44) and the conventional cell measures 2.628, 3.707 and 8.118 Å, with angles of 90.00, 90.00 and 90.00 degrees. The asymmetric unit holds Fe at (0.000, 0.000, 0.000), Tc at (0.000, 0.000, 0.349) and Mo at (0.000, 0.000, 0.667).

=====

[2]
Fe2TcMo: single point on PBEsol structure, meta-GGA SCAN.

As for the crystal system: tetragonal. Its energy of formation is 0.022 eV/atom. The value obtained for the energy above the lowest structure with this stoichiometry is 0 meV per atom. The density of states at the Fermi level comes out at 2.25 states/eV/cell.

The space group is P4mm (No. 99) and the conventional cell measures 3.006, 3.006 and 5.716 Å, with angles of 90.00, 90.00 and 90.00 degrees. The asymmetric unit holds Fe at (0.000, 0.000, 0.000), Fe at (0.500, 0.500, 0.220), Tc at (0.500, 0.500, 0.740) and Mo at (0.000, 0.000, 0.478).

=====

[3]
FeTc2Mo: single point on PBEsol structure, meta-GGA SCAN.

As for the crystal system: tetragonal. Its energy of formation is 0.120 eV/atom. The density of states at the Fermi level comes out at 6.10 states/eV/cell.

The space group is I-4m2 (No. 119) and the conventional cell measures 3.790, 3.790 and 7.497 Å, with angles of 90.00, 90.00 and 90.00 degrees. The asymmetric unit holds Fe at (0.000, 0.000, 0.000), Tc at (0.000, 0.000, 0.500), Tc at (0.000, 0.500, 0.750) and Mo at (0.000, 0.500, 0.250).

=====

[4]
Fe2TcMo: single point on PBEsol structure, meta-GGA SCAN.

As for the crystal system: monoclinic. Its energy of formation is 0.039 eV/atom. The value obtained for the energy above the lowest structure with this stoichiometry is 17 meV per atom. The density of states at the Fermi level comes out at 2.58 states/eV/cell.

The space group is Pm (No. 6) and the conventional cell measures 2.550, 4.176 and 4.886 Å, with angles of 90.00, 99.00 and 90.00 degrees. The asymmetric unit holds Fe at (0.000, 0.000, 0.000), Fe at (0.198, 0.500, 0.763), Tc at (0.489, 0.000, 0.522) and Mo at (0.719, 0.500, 0.247).

=====

[5]
FeTeMo: single point on PBEsol structure, meta-GGA SCAN.

As for the crystal system: trigonal. The formation energy from raw total energies is 0.523 eV/atom. The value obtained for the energy above the lowest structure with this stoichiometry is 0 meV per atom. The density of states at the Fermi level comes out at 0.22 states/eV/cell.

The space group is P3m1 (No. 156) and the conventional cell measures 3.7394, 3.7394 and 4.3325 Å, with angles of 90.00, 90.00 and 120.00 degrees. The asymmetric unit holds Fe at (0.0000, 0.0000, 0.0000), Te at (0.6667, 0.3333, 0.3190) and Mo at (0.3333, 0.6667, 0.8238).

=====

[6]
FeTeMo: single point on PBEsol structure, meta-GGA SCAN.

As for the crystal system: cubic. The formation energy from raw total energies is 0.769 eV/atom. The value obtained for the energy above the lowest structure with this stoichiometry is 246 meV per atom. The density of states at the Fermi level comes out at 17.29 states/eV/cell.

The space group is F-43m (No. 216) and the conventional cell measures 5.999, 5.999 and 5.999 Å, with angles of 90.00, 90.00 and 90.00 degrees. The asymmetric unit holds Fe at (0.000, 0.000, 0.000), Te at (0.250, 0.250, 0.750) and Mo at (0.000, 0.000, 0.500).